Compound: Pr2HoTl2Ag2
Source: Alexandria
Functional: PBE
Structure: optimized geometry

Summary:
The value obtained for the formation energy is -0.1902 eV/atom. The density of states at the Fermi level comes out at 6.02 states/eV/f.u.

Cell lengths 4.9070, 4.9070, 9.6973 Å; angles 75.34, 75.34, 60.00 degrees
With the nearest neighbours (Å) after each atom.
Fractional coordinates of all 7 atoms:
Pr: 0.1242 0.1242 0.6274  3 Tl 3.22, 3 Ag 3.44, 1 Ho 3.46
Pr: 0.8758 0.8758 0.3726  3 Tl 3.22, 3 Ag 3.44, 1 Ho 3.46
Ho: 0.0000 0.0000 0.0000  6 Ag 3.21, 6 Tl 3.43, 2 Pr 3.46
Tl: 0.7360 0.7360 0.7919  3 Ag 2.87
Tl: 0.2640 0.2640 0.2081  3 Ag 2.87
Ag: 0.6127 0.6127 0.1619  3 Tl 2.87, 3 Ho 3.21
Ag: 0.3873 0.3873 0.8381  3 Tl 2.87, 3 Ho 3.21

=====

Compound: Pu2Ge4RuPt3
Source: Alexandria
Functional: PBE
Structure: optimized geometry

Summary:
The value obtained for the formation energy is -0.6554 eV/atom. The density of states at the Fermi level comes out at 28.74 states/eV/f.u.

Cell lengths 4.2418, 4.2418, 10.4323 Å; angles 90.00, 90.00, 90.00 degrees
With the nearest neighbours (Å) after each atom.
Fractional coordinates of all 10 atoms:
Pu: 0.5000 0.0000 0.2498  6 Pt 3.23-3.36, 8 Ge 3.25-3.36, 2 Ru 3.36
Pu: 0.0000 0.5000 0.7502  6 Pt 3.23-3.36, 8 Ge 3.25-3.36, 2 Ru 3.36
Ge: 0.5000 0.5000 0.0000  4 Pt 2.54
Ge: 0.0000 0.0000 0.0000  4 Pt 2.54
Ge: 0.5000 0.0000 0.6295  3 Pt 2.47-2.51, 2 Ru 2.51
Ge: 0.0000 0.5000 0.3705  3 Pt 2.47-2.51, 2 Ru 2.51
Ru: 0.5000 0.5000 0.5000  4 Ge 2.51
Pt: 0.0000 0.0000 0.5000  4 Ge 2.51
Pt: 0.5000 0.0000 0.8664  5 Ge 2.47-2.54
Pt: 0.0000 0.5000 0.1336  5 Ge 2.47-2.54

=====

Compound: Tb5Y3Ho4
Source: Alexandria
Functional: PBE
Structure: optimized geometry

Summary:
The value obtained for the formation energy is 0.2473 eV/atom. The density of states at the Fermi level comes out at 20.17 states/eV/f.u. The distance to the lowest polymorph of the same formula comes out at 2.74 eV/f.u.

Cell lengths 5.8504, 8.5692, 9.5931 Å; angles 105.86, 72.25, 70.04 degrees
With the nearest neighbours (Å) after each atom.
Fractional coordinates of all 12 atoms:
Tb: 0.6258 0.9485 0.7999  2 Y 3.25-3.49, 1 Tb 3.39, 2 Ho 3.60
Tb: 0.5000 0.5000 0.5000  4 Y 2.93-3.06
Tb: 0.2135 0.4598 0.1132  4 Y 3.19-3.43, 3 Ho 3.42-3.54
Tb: 0.7865 0.5402 0.8868  4 Y 3.19-3.43, 3 Ho 3.42-3.54
Tb: 0.3742 0.0515 0.2001  2 Y 3.25-3.49, 1 Tb 3.39, 2 Ho 3.60
Y: 0.5208 0.6880 0.2704  3 Tb 3.06-3.25, 1 Ho 3.31
Y: 0.0000 0.5000 0.5000  2 Tb 2.93
Y: 0.4792 0.3120 0.7296  3 Tb 3.06-3.25, 1 Ho 3.31
Ho: 0.8602 0.2208 0.0588  2 Ho 3.25-3.63, 3 Tb 3.42-3.54, 1 Y 3.43
Ho: 0.1639 0.0501 0.6221  3 Y 3.31-3.50, 3 Ho 3.56-3.63, 3 Tb 3.60-3.66
Ho: 0.8361 0.9499 0.3779  3 Y 3.31-3.50, 3 Ho 3.56-3.63, 3 Tb 3.60-3.66
Ho: 0.1398 0.7792 0.9412  2 Ho 3.25-3.63, 3 Tb 3.42-3.54, 1 Y 3.43

=====

Compound: DyHo3Mg3
Source: Alexandria
Functional: PBE
Structure: optimized geometry

Summary:
The value obtained for the formation energy is 0.0891 eV/atom. The density of states at the Fermi level comes out at 7.01 states/eV/f.u.

Cell lengths 7.7159, 7.7159, 6.8689 Å; angles 89.92, 89.92, 92.77 degrees
With the nearest neighbours (Å) after each atom.
Fractional coordinates of all 14 atoms:
Dy: 0.3126 0.3126 0.9982  6 Ho 3.35-3.73, 4 Mg 3.39-3.47
Dy: 0.6874 0.6874 0.0018  6 Ho 3.35-3.73, 4 Mg 3.39-3.47
Ho: 0.9999 0.9999 0.7542  4 Mg 3.31-3.38, 2 Ho 3.38-3.49
Ho: 0.4994 0.0005 0.2524  6 Mg 3.17-3.29, 2 Dy 3.35-3.36, 2 Ho 3.40-3.47
Ho: 0.0005 0.4994 0.2524  6 Mg 3.17-3.29, 2 Dy 3.35-3.36, 2 Ho 3.40-3.47
Ho: 0.5006 0.9995 0.7476  6 Mg 3.17-3.29, 2 Dy 3.35-3.36, 2 Ho 3.40-3.47
Ho: 0.9995 0.5006 0.7476  6 Mg 3.17-3.29, 2 Dy 3.35-3.36, 2 Ho 3.40-3.47
Ho: 0.0001 0.0001 0.2458  4 Mg 3.31-3.38, 2 Ho 3.38-3.49
Mg: 0.2715 0.2715 0.4993  2 Mg 3.11, 6 Ho 3.27-3.38, 2 Dy 3.46-3.47
Mg: 0.3263 0.6737 0.5000  2 Mg 3.11, 4 Ho 3.27
Mg: 0.6737 0.3263 0.5000  2 Mg 3.11, 4 Ho 3.27
Mg: 0.2547 0.7453 0.0000  6 Ho 3.17-3.31, 2 Dy 3.39, 2 Mg 3.53
Mg: 0.7453 0.2547 0.0000  6 Ho 3.17-3.31, 2 Dy 3.39, 2 Mg 3.53
Mg: 0.7285 0.7285 0.5007  2 Mg 3.11, 6 Ho 3.27-3.38, 2 Dy 3.46-3.47

=====

Compound: LiSmTmGa
Source: Alexandria
Functional: PBE
Structure: optimized geometry

Summary:
The value obtained for the formation energy is -0.3036 eV/atom. The density of states at the Fermi level comes out at 3.60 states/eV/f.u.

Cell lengths 5.1158, 5.1158, 5.1158 Å; angles 60.00, 60.00, 60.00 degrees
With the nearest neighbours (Å) after each atom.
Fractional coordinates of all 4 atoms:
Tm: 0.7500 0.7500 0.7500  4 Ga 3.13, 4 Li 3.13
Ga: 0.5000 0.5000 0.5000  4 Tm 3.13, 4 Sm 3.13
Sm: 0.2500 0.2500 0.2500  4 Li 3.13, 4 Ga 3.13
Li: 0.0000 0.0000 0.0000  4 Tm 3.13, 4 Sm 3.13

=====

Compound: Ho3ZnAg
Source: Alexandria
Functional: PBE
Structure: optimized geometry

Summary:
The value obtained for the formation energy is -0.1661 eV/atom. The density of states at the Fermi level comes out at 4.70 states/eV/f.u. The distance to the lowest polymorph of the same formula comes out at 0.40 eV/f.u.

Cell lengths 7.5123, 6.8683, 9.8577 Å; angles 85.95, 90.00, 90.00 degrees
With the nearest neighbours (Å) after each atom.
Fractional coordinates of all 20 atoms:
Ho: 0.9677 0.8185 0.2730  3 Ag 2.96-3.18, 2 Zn 2.98-3.20
Ho: 0.0323 0.1815 0.7270  3 Ag 2.96-3.18, 2 Zn 2.98-3.20
Ho: 0.4677 0.1815 0.2270  3 Ag 2.96-3.18, 2 Zn 2.98-3.20
Ho: 0.5323 0.8185 0.7730  3 Ag 2.96-3.18, 2 Zn 2.98-3.20
Ho: 0.5357 0.7218 0.4097  1 Ag 2.99, 3 Zn 3.03-3.29
Ho: 0.4643 0.2782 0.5903  1 Ag 2.99, 3 Zn 3.03-3.29
Ho: 0.0357 0.2782 0.0903  1 Ag 2.99, 3 Zn 3.03-3.29
Ho: 0.9643 0.7218 0.9097  1 Ag 2.99, 3 Zn 3.03-3.29
Ho: 0.1472 0.6734 0.5980  3 Zn 2.96-3.00, 2 Ag 3.00-3.10
Ho: 0.8528 0.3266 0.4020  3 Zn 2.96-3.00, 2 Ag 3.00-3.10
Ho: 0.6472 0.3266 0.9020  3 Zn 2.96-3.00, 2 Ag 3.00-3.10
Ho: 0.3528 0.6734 0.0980  3 Zn 2.96-3.00, 2 Ag 3.00-3.10
Zn: 0.7243 0.5421 0.1450  1 Ag 2.80, 6 Ho 2.96-3.12
Zn: 0.2757 0.4579 0.8550  1 Ag 2.80, 6 Ho 2.96-3.12
Zn: 0.2243 0.4579 0.3550  1 Ag 2.80, 6 Ho 2.96-3.12
Zn: 0.7757 0.5421 0.6450  1 Ag 2.80, 6 Ho 2.96-3.12
Ag: 0.1867 0.0632 0.4437  1 Zn 2.80, 5 Ho 2.96-3.10, 1 Ag 3.12
Ag: 0.8133 0.9368 0.5563  1 Zn 2.80, 5 Ho 2.96-3.10, 1 Ag 3.12
Ag: 0.6867 0.9368 0.0563  1 Zn 2.80, 5 Ho 2.96-3.10, 1 Ag 3.12
Ag: 0.3133 0.0632 0.9437  1 Zn 2.80, 5 Ho 2.96-3.10, 1 Ag 3.12

=====

Compound: CrCd4Ag
Source: Alexandria
Functional: PBE
Structure: optimized geometry

Summary:
The value obtained for the formation energy is 0.3100 eV/atom. The density of states at the Fermi level comes out at 2.41 states/eV/f.u.

Cell lengths 5.6426, 5.6426, 5.6426 Å; angles 60.00, 60.00, 60.00 degrees
With the nearest neighbours (Å) after each atom.
Fractional coordinates of all 6 atoms:
Cr: 0.7500 0.7500 0.7500  12 Cd 3.31, 4 Ag 3.46
Cd: 0.8752 0.3749 0.3749  6 Cd 2.82
Cd: 0.3749 0.3749 0.8752  6 Cd 2.82
Cd: 0.3749 0.8752 0.3749  6 Cd 2.82
Cd: 0.3749 0.3749 0.3749  6 Cd 2.82
Ag: 0.0000 0.0000 0.0000  12 Cd 3.31, 4 Cr 3.46